LiNi2I: optimized geometry, PBE.

Lattice parameters (Å, degrees): 3.7781 3.7781 9.2796 78.25 78.25 90.00
Last column: nearest neighbours and their distance in Å.
Sites, in units of the cell vectors:
1 Ni 0.3750 0.3815 0.7500  2 Li 2.58, 2 I 2.60, 4 Ni 2.64-2.71
2 Ni 0.8750 0.8685 0.7500  2 Li 2.58, 2 I 2.60, 4 Ni 2.64-2.71
3 Ni 0.1315 0.6250 0.2500  2 Li 2.58, 2 I 2.60, 4 Ni 2.64-2.71
4 Ni 0.6185 0.1250 0.2500  2 Li 2.58, 2 I 2.60, 4 Ni 2.64-2.71
5 I 0.7500 0.2500 0.5000  4 Ni 2.60, 4 Li 2.67
6 I 0.0000 0.0000 0.0000  4 Ni 2.60, 4 Li 2.67
7 Li 0.2500 0.7500 0.5000  4 Ni 2.58, 4 I 2.67
8 Li 0.5000 0.5000 0.0000  4 Ni 2.58, 4 I 2.67

Properties
Formation energy (no corrections) (kJ/mol of atoms): 26.5



Li3Ni5I12: optimized geometry, PBE.

Lattice parameters (Å, degrees): 14.7764 14.7764 14.7764 109.47 109.47 109.47
Last column: nearest neighbours and their distance in Å.
Sites, in units of the cell vectors:
1 Li 0.7500 0.3750 0.1250  4 I 3.16
2 Li 0.3750 0.7500 0.6250  4 I 3.16
3 Li 0.3750 0.6250 0.2500  4 I 3.16
4 Li 0.7500 0.8750 0.6250  4 I 3.16
5 Li 0.1250 0.2500 0.8750  4 I 3.16
6 Li 0.6250 0.3750 0.7500  4 I 3.16
7 Li 0.2500 0.1250 0.3750  4 I 3.16
8 Li 0.1250 0.8750 0.7500  4 I 3.16
9 Li 0.6250 0.2500 0.3750  4 I 3.16
10 Li 0.8750 0.1250 0.2500  4 I 3.16
11 Li 0.8750 0.7500 0.1250  4 I 3.16
12 Li 0.2500 0.6250 0.8750  4 I 3.16
13 Ni 0.1250 0.7500 0.3750  4 I 2.53
14 Ni 0.0000 0.0000 0.5000  6 I 2.72
15 Ni 0.5000 0.5000 0.5000  6 I 2.72
16 Ni 0.6250 0.7500 0.8750  4 I 2.53
17 Ni 0.8750 0.2500 0.6250  4 I 2.53
18 Ni 0.5000 0.0000 0.0000  6 I 2.72
19 Ni 0.5000 0.5000 0.0000  6 I 2.72
20 Ni 0.1250 0.3750 0.2500  4 I 2.53
21 Ni 0.2500 0.3750 0.6250  4 I 2.53
22 Ni 0.0000 0.0000 0.0000  6 I 2.72
23 Ni 0.0000 0.5000 0.5000  6 I 2.72
24 Ni 0.2500 0.8750 0.1250  4 I 2.53
25 Ni 0.3750 0.2500 0.1250  4 I 2.53
26 Ni 0.0000 0.5000 0.0000  6 I 2.72
27 Ni 0.3750 0.1250 0.7500  4 I 2.53
28 Ni 0.6250 0.8750 0.2500  4 I 2.53
29 Ni 0.7500 0.6250 0.3750  4 I 2.53
30 Ni 0.5000 0.0000 0.5000  6 I 2.72
31 Ni 0.8750 0.6250 0.7500  4 I 2.53
32 Ni 0.7500 0.1250 0.8750  4 I 2.53
33 I 0.5208 0.1961 0.1262  2 Ni 2.53-2.72
34 I 0.5699 0.6961 0.6753  2 Ni 2.53-2.72
35 I 0.3039 0.8738 0.9792  2 Ni 2.53-2.72
36 I 0.0699 0.8946 0.3738  2 Ni 2.53-2.72
37 I 0.5208 0.3247 0.8946  2 Ni 2.53-2.72
38 I 0.5699 0.8738 0.3946  2 Ni 2.53-2.72
39 I 0.6961 0.5699 0.1753  2 Ni 2.53-2.72
40 I 0.3247 0.8039 0.4301  2 Ni 2.53-2.72
41 I 0.3946 0.0208 0.3247  2 Ni 2.53-2.72
42 I 0.0699 0.1753 0.1961  2 Ni 2.53-2.72
43 I 0.4792 0.8039 0.8738  2 Ni 2.53-2.72
44 I 0.9301 0.1054 0.6262  2 Ni 2.53-2.72
45 I 0.1753 0.1054 0.9792  2 Ni 2.53-2.72
46 I 0.4301 0.3039 0.3247  2 Ni 2.53-2.72
47 I 0.1961 0.6753 0.0699  2 Ni 2.53-2.72
48 I 0.6054 0.9792 0.6753  2 Ni 2.53-2.72
49 I 0.9301 0.8247 0.8039  2 Ni 2.53-2.72
50 I 0.8039 0.3247 0.9301  2 Ni 2.53-2.72
51 I 0.3247 0.5208 0.3946  2 Ni 2.53-2.72
52 I 0.3738 0.9792 0.8039  2 Ni 2.53-2.72
53 I 0.1262 0.4301 0.1054  2 Ni 2.53-2.72
54 I 0.1054 0.1753 0.4792  2 Ni 2.53-2.72
55 I 0.1753 0.0699 0.6961  2 Ni 2.53-2.72
56 I 0.3738 0.3946 0.0699  2 Ni 2.53-2.72
57 I 0.0208 0.6262 0.6961  2 Ni 2.53-2.72
58 I 0.1262 0.6961 0.5208  2 Ni 2.53-2.72
59 I 0.0208 0.3946 0.8247  2 Ni 2.53-2.72
60 I 0.8039 0.4792 0.3738  2 Ni 2.53-2.72
61 I 0.3946 0.3738 0.5699  2 Ni 2.53-2.72
62 I 0.1054 0.9301 0.1262  2 Ni 2.53-2.72
63 I 0.9792 0.6054 0.1753  2 Ni 2.53-2.72
64 I 0.6262 0.6054 0.9301  2 Ni 2.53-2.72
65 I 0.8738 0.3039 0.4792  2 Ni 2.53-2.72
66 I 0.1961 0.5208 0.6262  2 Ni 2.53-2.72
67 I 0.8247 0.9301 0.3039  2 Ni 2.53-2.72
68 I 0.8946 0.8247 0.5208  2 Ni 2.53-2.72
69 I 0.8247 0.8946 0.0208  2 Ni 2.53-2.72
70 I 0.3039 0.4301 0.8247  2 Ni 2.53-2.72
71 I 0.6753 0.1961 0.5699  2 Ni 2.53-2.72
72 I 0.6054 0.6262 0.4301  2 Ni 2.53-2.72
73 I 0.9792 0.3738 0.3039  2 Ni 2.53-2.72
74 I 0.4301 0.1262 0.6054  2 Ni 2.53-2.72
75 I 0.8946 0.0699 0.8738  2 Ni 2.53-2.72
76 I 0.6961 0.1262 0.0208  2 Ni 2.53-2.72
77 I 0.4792 0.6753 0.1054  2 Ni 2.53-2.72
78 I 0.8738 0.5699 0.8946  2 Ni 2.53-2.72
79 I 0.6753 0.4792 0.6054  2 Ni 2.53-2.72
80 I 0.6262 0.0208 0.1961  2 Ni 2.53-2.72

Properties
Formation energy (no corrections) (kJ/mol of atoms): -28.4



LiNiI4: optimized geometry, PBE.

Lattice parameters (Å, degrees): 4.0139 7.0085 6.9913 81.91 90.00 90.00
Last column: nearest neighbours and their distance in Å.
Sites, in units of the cell vectors:
1 I 0.0000 0.7310 0.1667  1 Ni 2.64, 2 Li 2.92
2 I 0.5000 0.2850 0.3737  2 Ni 2.73, 1 Li 2.83
3 I 0.5000 0.7150 0.6263  2 Ni 2.73, 1 Li 2.83
4 I 0.0000 0.2690 0.8333  1 Ni 2.64, 2 Li 2.92
5 Li 0.5000 0.5000 0.0000  6 I 2.83-2.92
6 Ni 0.0000 0.5000 0.5000  6 I 2.64-2.73

Properties
Formation energy (no corrections) (kJ/mol of atoms): -37.5



LiNi2I: optimized geometry, PBE.

Lattice parameters (Å, degrees): 4.3268 4.3268 4.3268 60.00 60.00 60.00
Last column: nearest neighbours and their distance in Å.
Sites, in units of the cell vectors:
1 Ni 0.7500 0.7500 0.7500  4 Li 2.65, 4 I 2.65
2 Ni 0.2500 0.2500 0.2500  4 I 2.65, 4 Li 2.65
3 I 0.5000 0.5000 0.5000  8 Ni 2.65
4 Li 0.0000 0.0000 0.0000  8 Ni 2.65

Properties
Formation energy (no corrections) (kJ/mol of atoms): 26.9